! Mg14MnCdO16, relaxed, DFT PBE+U; values from VASP
&SYSTEM
  ibrav = 0, nat = 32, ntyp = 4
/
ATOMIC_SPECIES
Mg 24.30 Mg.upf
O 16.00 O.upf
Cd 112.41 Cd.upf
Mn 54.94 Mn.upf
CELL_PARAMETERS angstrom
4.3269 0.0000 0.0000
0.0000 8.6385 0.0000
0.0000 0.0000 8.6447
ATOMIC_POSITIONS angstrom
Mg 2.1634 0.0000 2.1348
O 0.0000 2.3008 4.3224
Mg 2.1634 6.4317 4.3224
O 2.1634 4.3193 4.3224
O 2.1634 2.1532 6.4814
O 2.1634 0.0000 4.3224
Mg 0.0000 6.4453 2.1494
Cd 0.0000 0.0000 4.3224
Mn 0.0000 0.0000 0.0000
Mg 2.1634 4.3193 6.4872
O 0.0000 0.0000 2.0855
Mg 2.1634 2.1819 0.0000
O 0.0000 4.3193 2.1490
Mg 0.0000 4.3193 4.3224
Mg 2.1634 2.2069 4.3224
O 2.1634 0.0000 0.0000
O 0.0000 4.3193 6.4957
O 0.0000 6.3955 0.0000
O 2.1634 2.1532 2.1633
O 0.0000 0.0000 6.5593
O 2.1634 6.4854 2.1633
Mg 2.1634 4.3193 2.1575
O 0.0000 6.3378 4.3224
O 2.1634 6.4854 6.4814
Mg 0.0000 6.4453 6.4954
Mg 0.0000 2.1933 2.1494
Mg 2.1634 6.4566 0.0000
O 0.0000 2.2430 0.0000
O 2.1634 4.3193 0.0000
Mg 0.0000 4.3193 0.0000
Mg 0.0000 2.1933 6.4954
Mg 2.1634 0.0000 6.5099
! Crystal system: orthorhombic
! Polymorph energy (0 for the lowest one): 4 meV/atom
! Total moment: 5.0 μB/f.u.
! Electronic total energy: -5.935 eV/atom